# RbLiTl PBE-GGA optimized geometry
# total energy = -0.1305 Ry per atom
# E above lowest polymorph = 0.00 eV per formula unit
# energy of formation = -0.03 eV/atom
# space group = I4mm, No. 107
data_RbLiTl
_symmetry_space_group_name_H-M 'P 1'
_symmetry_Int_Tables_number 1
_cell_length_a 7.3315
_cell_length_b 7.3315
_cell_length_c 7.3315
_cell_angle_alpha 148.40
_cell_angle_beta 148.40
_cell_angle_gamma 45.29
loop_
_symmetry_equiv_pos_as_xyz
'x,y,z'
loop_
_atom_site_label
_atom_site_type_symbol
_atom_site_fract_x
_atom_site_fract_y
_atom_site_fract_z
_atom_site_occupancy
Rb1 Rb 0.0000 0.0000 0.0000 1
Li1 Li 0.2724 0.2724 0.0000 1
Tl1 Tl 0.7102 0.7102 0.0000 1

=====

# RbLiTl2 PBE-GGA optimized geometry
# total energy = -0.1470 Ry per atom
# E above lowest polymorph = 0.12 eV per formula unit
# energy of formation = -0.10 eV/atom
# space group = Pmmn, No. 59
data_RbLiTl2
_symmetry_space_group_name_H-M 'P 1'
_symmetry_Int_Tables_number 1
_cell_length_a 4.9474
_cell_length_b 8.3628
_cell_length_c 7.1382
_cell_angle_alpha 90.00
_cell_angle_beta 90.00
_cell_angle_gamma 90.00
loop_
_symmetry_equiv_pos_as_xyz
'x,y,z'
loop_
_atom_site_label
_atom_site_type_symbol
_atom_site_fract_x
_atom_site_fract_y
_atom_site_fract_z
_atom_site_occupancy
Rb1 Rb 0.2500 0.2500 0.1084 1
Rb2 Rb 0.7500 0.7500 0.8916 1
Li1 Li 0.2500 0.7500 0.4026 1
Li2 Li 0.7500 0.2500 0.5974 1
Tl1 Tl 0.2500 0.0564 0.6180 1
Tl2 Tl 0.2500 0.4436 0.6180 1
Tl3 Tl 0.7500 0.5564 0.3820 1
Tl4 Tl 0.7500 0.9436 0.3820 1

=====

# RbLiTl2 PBE-GGA optimized geometry
# total energy = -0.1487 Ry per atom
# E above lowest polymorph = 0.02 eV per formula unit
# energy of formation = -0.12 eV/atom
# space group = R3m, No. 160
data_RbLiTl2
_symmetry_space_group_name_H-M 'P 1'
_symmetry_Int_Tables_number 1
_cell_length_a 7.2733
_cell_length_b 7.2733
_cell_length_c 7.2733
_cell_angle_alpha 40.65
_cell_angle_beta 40.65
_cell_angle_gamma 40.65
loop_
_symmetry_equiv_pos_as_xyz
'x,y,z'
loop_
_atom_site_label
_atom_site_type_symbol
_atom_site_fract_x
_atom_site_fract_y
_atom_site_fract_z
_atom_site_occupancy
Rb1 Rb 0.0000 0.0000 0.0000 1
Li1 Li 0.1815 0.1815 0.1815 1
Tl1 Tl 0.5239 0.5239 0.5239 1
Tl2 Tl 0.8018 0.8018 0.8018 1

=====

# Rb3Li2Tl7 PBE-GGA optimized geometry
# total energy = -0.1492 Ry per atom
# energy of formation = -0.09 eV/atom
# space group = R-3m, No. 166
data_Rb3Li2Tl7
_symmetry_space_group_name_H-M 'P 1'
_symmetry_Int_Tables_number 1
_cell_length_a 10.7118
_cell_length_b 10.7118
_cell_length_c 10.7118
_cell_angle_alpha 37.00
_cell_angle_beta 37.00
_cell_angle_gamma 37.00
loop_
_symmetry_equiv_pos_as_xyz
'x,y,z'
loop_
_atom_site_label
_atom_site_type_symbol
_atom_site_fract_x
_atom_site_fract_y
_atom_site_fract_z
_atom_site_occupancy
Rb1 Rb 0.0000 0.0000 0.0000 1
Rb2 Rb 0.1428 0.1428 0.1428 1
Rb3 Rb 0.8572 0.8572 0.8572 1
Li1 Li 0.3336 0.3336 0.3336 1
Li2 Li 0.6664 0.6664 0.6664 1
Tl1 Tl 0.0733 0.5761 0.5761 1
Tl2 Tl 0.4239 0.4239 0.9267 1
Tl3 Tl 0.4239 0.9267 0.4239 1
Tl4 Tl 0.5000 0.5000 0.5000 1
Tl5 Tl 0.5761 0.0733 0.5761 1
Tl6 Tl 0.5761 0.5761 0.0733 1
Tl7 Tl 0.9267 0.4239 0.4239 1

=====

# RbLi3Tl PBE-GGA optimized geometry
# total energy = -0.1328 Ry per atom
# E above lowest polymorph = 0.00 eV per formula unit
# energy of formation = 0.01 eV/atom
# space group = Pm-3m, No. 221
data_RbLi3Tl
_symmetry_space_group_name_H-M 'P 1'
_symmetry_Int_Tables_number 1
_cell_length_a 5.4953
_cell_length_b 5.4953
_cell_length_c 5.4953
_cell_angle_alpha 90.00
_cell_angle_beta 90.00
_cell_angle_gamma 90.00
loop_
_symmetry_equiv_pos_as_xyz
'x,y,z'
loop_
_atom_site_label
_atom_site_type_symbol
_atom_site_fract_x
_atom_site_fract_y
_atom_site_fract_z
_atom_site_occupancy
Rb1 Rb 0.0000 0.0000 0.0000 1
Li1 Li 0.0000 0.5000 0.5000 1
Li2 Li 0.5000 0.0000 0.5000 1
Li3 Li 0.5000 0.5000 0.0000 1
Tl1 Tl 0.5000 0.5000 0.5000 1

=====

# RbLiTl PBE-GGA optimized geometry
# total energy = -0.1242 Ry per atom
# E above lowest polymorph = 0.26 eV per formula unit
# energy of formation = 0.06 eV/atom
# space group = P-6m2, No. 187
data_RbLiTl
_symmetry_space_group_name_H-M 'P 1'
_symmetry_Int_Tables_number 1
_cell_length_a 5.0669
_cell_length_b 5.0669
_cell_length_c 5.4149
_cell_angle_alpha 90.00
_cell_angle_beta 90.00
_cell_angle_gamma 120.00
loop_
_symmetry_equiv_pos_as_xyz
'x,y,z'
loop_
_atom_site_label
_atom_site_type_symbol
_atom_site_fract_x
_atom_site_fract_y
_atom_site_fract_z
_atom_site_occupancy
Rb1 Rb 0.0000 0.0000 0.0000 1
Li1 Li 0.6667 0.3333 0.5000 1
Tl1 Tl 0.3333 0.6667 0.5000 1